1.
Entry from Alexandria via LeMat-Bulk: a PBEsol-optimized structure of NiAgPt2 (meta-GGA SCAN).

calculated total energy	-47.06	eV per atom

abc: 2.735 2.735 7.626
angles: 90.00 90.00 90.00
Fractional coordinates of all 4 atoms:
Ni: 0.000 0.000 0.000
Ag: 0.000 0.000 0.500
Pt: 0.500 0.500 0.223
Pt: 0.500 0.500 0.777

---

2.
Entry from Alexandria via LeMat-Bulk: a PBEsol-optimized structure of RbNi3Ag (meta-GGA SCAN).

calculated total energy	-17.79	eV per atom

abc: 4.504 4.504 4.504
angles: 90.00 90.00 90.00
Fractional coordinates of all 5 atoms:
Rb: 0.000 0.000 0.000
Ni: 0.000 0.000 0.500
Ni: 0.000 0.500 0.000
Ni: 0.500 0.000 0.000
Ag: 0.500 0.500 0.500

---

3.
Entry from Alexandria via LeMat-Bulk: a PBEsol-optimized structure of RbYNi2Ag (meta-GGA SCAN).

calculated total energy	-20.88	eV per atom

abc: 4.639 4.639 5.401
angles: 90.00 90.00 90.00
Fractional coordinates of all 5 atoms:
Rb: 0.000 0.000 0.000
Y: 0.500 0.500 0.500
Ni: 0.000 0.500 0.000
Ni: 0.500 0.000 0.000
Ag: 0.000 0.000 0.500

---

4.
Entry from Alexandria via LeMat-Bulk: a PBEsol-optimized structure of ReNi2Ag (meta-GGA SCAN).

calculated total energy	-33.38	eV per atom
ΔE to the lowest computed polymorph	0.0	kJ per mole of atoms

abc: 8.717 8.717 8.717
angles: 17.54 17.54 17.54
Fractional coordinates of all 4 atoms:
Re: 0.000 0.000 0.000
Ni: 0.256 0.256 0.256
Ni: 0.514 0.514 0.514
Ag: 0.763 0.763 0.763

---

5.
Entry from Alexandria via LeMat-Bulk: a PBEsol-optimized structure of ReNiAg2 (meta-GGA SCAN).

calculated total energy	-36.68	eV per atom
ΔE to the lowest computed polymorph	18.8	kJ per mole of atoms

abc: 4.942 4.942 4.942
angles: 135.58 135.58 64.62
Fractional coordinates of all 4 atoms:
Re: 0.000 0.000 0.000
Ni: 0.500 0.500 0.000
Ag: 0.250 0.750 0.500
Ag: 0.750 0.250 0.500

---

6.
Entry from Alexandria via LeMat-Bulk: a PBEsol-optimized structure of ReNi2Ag (meta-GGA SCAN).

calculated total energy	-33.10	eV per atom
ΔE to the lowest computed polymorph	26.8	kJ per mole of atoms

abc: 5.031 5.031 5.031
angles: 148.73 125.66 64.04
Fractional coordinates of all 4 atoms:
Re: 0.000 0.000 0.000
Ni: 0.241 0.741 0.500
Ni: 0.759 0.259 0.500
Ag: 0.500 0.500 0.000

---

7.
Entry from Alexandria via LeMat-Bulk: a PBEsol-optimized structure of Re2NiAg (meta-GGA SCAN).

calculated total energy	-46.97	eV per atom

abc: 4.614 4.614 4.614
angles: 130.50 130.50 72.60
Fractional coordinates of all 4 atoms:
Re: 0.000 0.000 0.000
Re: 0.750 0.250 0.500
Ni: 0.500 0.500 0.000
Ag: 0.250 0.750 0.500

---

8.
Entry from Alexandria via LeMat-Bulk: a PBEsol-optimized structure of ReNi2Ag (meta-GGA SCAN).

calculated total energy	-33.33	eV per atom
ΔE to the lowest computed polymorph	4.9	kJ per mole of atoms

abc: 4.531 4.531 2.606
angles: 90.00 90.00 106.15
Fractional coordinates of all 4 atoms:
Re: 0.000 0.000 0.000
Ni: 0.000 0.500 0.500
Ni: 0.500 0.000 0.500
Ag: 0.500 0.500 0.000

---

9.
Entry from Alexandria via LeMat-Bulk: a PBEsol-optimized structure of ReNiAg2 (meta-GGA SCAN).

calculated total energy	-36.87	eV per atom
ΔE to the lowest computed polymorph	0.0	kJ per mole of atoms

abc: 5.436 5.436 5.436
angles: 151.49 128.96 59.50
Fractional coordinates of all 4 atoms:
Re: 0.000 0.000 0.000
Ni: 0.789 0.289 0.500
Ag: 0.273 0.773 0.500
Ag: 0.550 0.550 0.000

---

10.
Entry from Alexandria via LeMat-Bulk: a PBEsol-optimized structure of NiAgRh2 (meta-GGA SCAN).

calculated total energy	-28.50	eV per atom
ΔE to the lowest computed polymorph	5.8	kJ per mole of atoms

abc: 4.691 4.691 4.691
angles: 133.03 133.03 68.61
Fractional coordinates of all 4 atoms:
Ni: 0.000 0.000 0.000
Ag: 0.500 0.500 0.000
Rh: 0.250 0.750 0.500
Rh: 0.750 0.250 0.500

---

11.
Entry from Alexandria via LeMat-Bulk: a PBEsol-optimized structure of NiAgRh2 (meta-GGA SCAN).

calculated total energy	-28.55	eV per atom
ΔE to the lowest computed polymorph	0.0	kJ per mole of atoms

abc: 5.241 5.241 5.241
angles: 150.11 129.98 59.37
Fractional coordinates of all 4 atoms:
Ni: 0.000 0.000 0.000
Ag: 0.500 0.500 0.000
Rh: 0.225 0.725 0.500
Rh: 0.775 0.275 0.500

---

12.
Entry from Alexandria via LeMat-Bulk: a PBEsol-optimized structure of NiAgRu (meta-GGA SCAN).

calculated total energy	-26.67	eV per atom
ΔE to the lowest computed polymorph	22.8	kJ per mole of atoms

abc: 4.015 4.015 4.015
angles: 60.00 60.00 60.00
Fractional coordinates of all 3 atoms:
Ni: 0.000 0.000 0.000
Ag: 0.250 0.250 0.250
Ru: 0.750 0.750 0.750